## CeGeAs2Rh5 (PBE)

Data for a relaxed CeGeAs2Rh5 crystal.

a = 4.042 Å, b = 4.042 Å, c = 10.394 Å
α = 90.00°, β = 90.00°, γ = 90.00°
Space group P4/mmm (No. 123)
Unique sites:
1 Ce 0.000 0.000 0.000
2 Ge 0.000 0.000 0.500
3 As 0.500 0.500 0.230
4 Rh 0.000 0.500 0.356
5 Rh 0.500 0.500 0.000

Calculated values
crystal system = tetragonal
density = 8.6 Mg/m³
formation energy = -5.29 eV/f.u.
magnetic moment = 0.7 μB per cell